This record from the Alexandria database describes a relaxed structure of TlCdSi. The functional is PBE.

Values from the calculation:
**Energy relative to the lowest polymorph listed for this composition**: 0 meV/atom

Unit cell a=4.5770 b=4.5770 c=4.2410 alpha=90.00 beta=90.00 gamma=120.00
Space group P3m1 (No. 156)
Inequivalent atoms, fractional coordinates:
Tl  0.0000  0.0000  0.0000 [1 per cell]
Cd  0.6667  0.3333  0.4992 [1 per cell]
Si  0.3333  0.6667  0.5014 [1 per cell]


This record from the Alexandria database describes a relaxed structure of H2Pd5. The functional is PBE.

Values from the calculation:
**Calculated total energy**: -4.712 eV/atom

Unit cell a=14.456 b=4.030 c=5.747 alpha=90.00 beta=101.40 gamma=90.00
Space group C2/c (No. 15)
Inequivalent atoms, fractional coordinates:
H  0.112  0.030  0.057 [8 per cell]
Pd  0.000  0.000  0.250 [4 per cell]
Pd  0.100  0.499  0.550 [8 per cell]
Pd  0.201  0.000  0.350 [8 per cell]


This record from the Alexandria database describes a relaxed structure of Cr2IrPt. The functional is PBE.

Values from the calculation:
**Calculated total energy**: -8.660 eV/atom

Unit cell a=8.890 b=2.705 c=4.634 alpha=90.00 beta=101.75 gamma=90.00
Space group Cm (No. 8)
Inequivalent atoms, fractional coordinates:
Cr  0.000  0.000  0.000 [2 per cell]
Cr  0.237  0.500  0.264 [2 per cell]
Ir  0.254  0.000  0.795 [2 per cell]
Pt  0.492  0.000  0.497 [2 per cell]


This record from the Alexandria database describes a relaxed structure of YAgBr. The functional is PBE.

Values from the calculation:
**Energy relative to the lowest polymorph listed for this composition**: 218 meV/atom

Unit cell a=3.508 b=3.508 c=13.838 alpha=90.00 beta=90.00 gamma=90.00
Space group I4mm (No. 107)
Inequivalent atoms, fractional coordinates:
Y  0.000  0.000  0.000 [2 per cell]
Ag  0.000  0.000  0.364 [2 per cell]
Br  0.000  0.000  0.627 [2 per cell]


no.,density (g/cm³)
1,7.4
2,10.8
3,15.0
4,5.4